*P*
DFT (GGA-PBE) results for a geometry-optimized Rh4C3 structure.

Structure (POSCAR):
```
Rh4C3
1.0
2.803 0.000 0.000
0.000 2.803 0.000
0.000 0.000 19.499
Rh C
8 6
Cartesian
0.000 0.000 1.263 Rh
0.000 0.000 6.278 Rh
0.000 0.000 13.221 Rh
0.000 0.000 18.236 Rh
1.401 1.401 3.471 Rh
1.401 1.401 8.487 Rh
1.401 1.401 11.013 Rh
1.401 1.401 16.028 Rh
0.000 0.000 4.129 C
0.000 0.000 9.750 C
0.000 0.000 15.371 C
1.401 1.401 0.000 C
1.401 1.401 5.621 C
1.401 1.401 13.878 C
```

Crystal system: tetragonal
Space group: No. 139



*Q*
DFT (GGA-PBE) results for a geometry-optimized Rh4C3 structure.

Structure (POSCAR):
```
Rh4C3
1.0
4.029 0.000 0.000
-2.015 3.489 0.000
0.000 0.000 5.890
Rh C
4 3
Cartesian
0.000 0.000 1.307 Rh
0.000 0.000 4.583 Rh
0.000 2.326 2.945 Rh
2.015 1.163 2.945 Rh
-1.007 1.745 0.000 C
2.015 0.000 0.000 C
1.007 1.745 0.000 C
```

Crystal system: hexagonal
Space group: No. 191



We find *P* to be the most stable, with the next structure 902 meV/atom higher.